The following is a GGA-PBE calculation of a geometry-optimized CoRe2Os structure, from the Alexandria database.

Formation enthalpy at 0 K = 0.437 eV/atom
Magnetization = 0.44 μB/atom
Distance to the lowest polymorph of the same formula = 490 meV/atom

Structure (POSCAR):
```
CoRe2Os
1.0
1.423 -2.251 0.000
1.423 2.251 0.000
0.000 0.000 8.897
Co Re Os
1 2 1
Cartesian
0.000 0.000 0.000
1.423 0.000 2.149
1.423 0.000 6.748
0.000 0.000 4.449
```